1.
Below is U2IrS after structural relaxation, with properties calculated at the GGA-PBE level.

Cell: 3.144 3.144 9.433 Å, 80.41 80.41 60.00°
Last column: magnetic moment on the atom in μB.
Positions (direct):
U1 0.906 0.906 0.281  1.71
U2 0.094 0.094 0.719  1.71
Ir1 0.000 0.000 0.000  0.15
S1 0.500 0.500 0.500  -0.05

- Formation energy (no corrections): -12 kJ per mole of atoms
- Symmetry: R-3m, No. 166
- DOS(E_F): 2.375 states/eV per atom

2.
Below is Ga3AsSe after structural relaxation, with properties calculated at the GGA-PBE level.

Cell: 5.069 5.069 5.069 Å, 90.00 90.00 90.00°
Positions (direct):
Ga1 0.500 0.000 0.000
Ga2 0.000 0.500 0.000
Ga3 0.000 0.000 0.500
As1 0.000 0.000 0.000
Se1 0.500 0.500 0.500

- Polymorph energy (0 for the lowest one): 0.000 eV per atom
- Formation energy (no corrections): 21 kJ per mole of atoms
- Symmetry: Pm-3m, No. 221
- DOS(E_F): 0.219 states/eV per atom

3.
Below is La2Ge4Rh3 after structural relaxation, with properties calculated at the GGA-PBE level.

Cell: 5.745 5.745 6.855 Å, 101.71 101.71 121.05°
Positions (direct):
Ge1 0.016 0.672 0.688
Ge2 0.328 0.984 0.312
Ge3 0.984 0.328 0.312
Ge4 0.672 0.016 0.688
Rh1 0.000 0.000 0.000
Rh2 0.500 0.000 0.000
Rh3 0.000 0.500 0.000
La1 0.368 0.368 0.736
La2 0.632 0.632 0.264

- Formation energy from the elements: -0.729 eV/atom
- Symmetry: Fmmm, No. 69
- DOS(E_F): 0.626 states/eV per atom

4.
Below is YErCu10 after structural relaxation, with properties calculated at the GGA-PBE level.

Cell: 4.094 5.048 8.665 Å, 90.00 90.00 90.00°
Positions (direct):
Cu1 0.500 0.249 0.751
Cu2 0.000 0.000 0.332
Cu3 0.500 0.751 0.751
Cu4 0.500 0.751 0.249
Cu5 0.500 0.000 0.500
Cu6 0.500 0.500 0.000
Cu7 0.000 0.500 0.835
Cu8 0.500 0.249 0.249
Cu9 0.000 0.000 0.668
Cu10 0.000 0.500 0.165
Y1 0.000 0.500 0.500
Er1 0.000 0.000 0.000

- Formation energy from the elements: -0.193 eV/atom
- Symmetry: Pmmm, No. 47
- DOS(E_F): 0.651 states/eV per atom

5.
Below is Pm8Nd2Tm3 after structural relaxation, with properties calculated at the GGA-PBE level.

Cell: 5.659 7.697 11.033 Å, 110.42 90.02 90.00°
Positions (direct):
Pm1 0.500 0.192 0.793
Pm2 0.500 0.601 0.793
Pm3 0.001 0.669 0.337
Pm4 0.500 0.399 0.207
Pm5 0.500 0.808 0.207
Pm6 0.000 0.128 0.257
Pm7 0.999 0.331 0.663
Pm8 0.000 0.872 0.743
Tm1 0.000 0.286 0.000
Tm2 0.500 0.000 0.000
Tm3 0.000 0.714 0.000
Nd1 0.499 0.240 0.479
Nd2 0.501 0.760 0.521

- Formation energy from the elements: 0.206 eV/atom
- Polymorph energy (0 for the lowest one): 0.186 eV per atom
- Symmetry: C2/m, No. 12
- DOS(E_F): 1.536 states/eV per atom

6.
Below is Cs2LaGaO4 after structural relaxation, with properties calculated at the GGA-PBE level.

Cell: 5.856 7.118 12.644 Å, 84.53 76.61 65.71°
Positions (direct):
O1 0.506 0.324 0.575
O2 0.244 0.176 0.925
O3 0.170 0.324 0.425
O4 0.580 0.176 0.075
O5 0.405 0.676 0.425
O6 0.345 0.824 0.075
O7 0.919 0.676 0.575
O8 0.831 0.824 0.925
Cs1 0.814 0.000 0.372
Cs2 0.564 0.500 0.872
Cs3 0.186 0.000 0.628
Cs4 0.936 0.500 0.128
La1 0.750 0.500 0.500
La2 0.000 0.000 0.000
Ga1 0.250 0.500 0.500
Ga2 0.500 0.000 0.000

- Formation energy (no corrections): -183 kJ per mole of atoms
- Symmetry: Fddd, No. 70
- DOS(E_F): 0.000 states/eV per atom

7.
Below is Zr2PbC after structural relaxation, with properties calculated at the GGA-PBE level.

Cell: 4.763 4.763 4.763 Å, 60.00 60.00 60.00°
Positions (direct):
C1 0.000 0.000 0.000
Pb1 0.500 0.500 0.500
Zr1 0.250 0.250 0.250
Zr2 0.750 0.750 0.750

- Formation energy from the elements: 0.878 eV/atom
- Symmetry: Fm-3m, No. 225
- DOS(E_F): 1.016 states/eV per atom

8.
Below is Pa3Cu after structural relaxation, with properties calculated at the GGA-PBE level.

Cell: 3.198 5.397 6.031 Å, 116.58 105.37 90.00°
Positions (direct):
Cu1 0.000 0.017 0.000
Pa1 0.281 0.618 0.562
Pa2 0.500 0.475 0.000
Pa3 0.719 0.057 0.438

- Formation energy from the elements: 0.083 eV/atom
- Polymorph energy (0 for the lowest one): 0.055 eV per atom
- Symmetry: Imm2, No. 44
- DOS(E_F): 1.728 states/eV per atom

9.
Below is PmTmU2P4 after structural relaxation, with properties calculated at the GGA-PBE level.

Cell: 3.964 6.979 6.866 Å, 70.85 90.00 90.00°
Last column: magnetic moment on the atom in μB.
Positions (direct):
P1 0.000 0.240 0.259  -0.05
P2 0.000 0.760 0.741  -0.05
P3 0.500 0.755 0.254  -0.05
P4 0.500 0.245 0.746  -0.05
Tm1 0.000 0.500 0.500  0.01
U1 0.500 0.000 0.500  1.99
U2 0.000 0.000 0.000  2.15
Pm1 0.500 0.500 0.000  0.03

- Formation energy from the elements: -1.269 eV/atom
- Symmetry: P2/m, No. 10
- DOS(E_F): 1.114 states/eV per atom

10.
Below is SrIn2Hg2 after structural relaxation, with properties calculated at the GGA-PBE level.

Cell: 4.949 4.949 6.885 Å, 68.94 68.94 90.00°
Positions (direct):
Sr1 0.000 0.000 0.000
Hg1 0.250 0.750 0.500
Hg2 0.750 0.250 0.500
In1 0.619 0.619 0.762
In2 0.381 0.381 0.238

- Formation energy from the elements: -0.282 eV/atom
- Symmetry: I4/mmm, No. 139
- DOS(E_F): 0.477 states/eV per atom

11.
Below is Rb2YMnGe after structural relaxation, with properties calculated at the GGA-PBE level.

Cell: 7.010 5.044 7.010 Å, 90.00 90.00 90.00°
Last column: magnetic moment on the atom in μB.
Positions (direct):
Rb1 0.500 0.000 0.000  0.00
Rb2 0.000 0.000 0.500  -0.01
Ge1 0.000 0.500 0.000  0.02
Mn1 0.500 0.500 0.500  4.45
Y1 0.000 0.000 0.000  -0.01

- Formation energy from the elements: 1.083 eV/atom
- Symmetry: P4/mmm, No. 123
- DOS(E_F): 0.771 states/eV per atom

12.
Below is CaAl2CdAg4 after structural relaxation, with properties calculated at the GGA-PBE level.

Cell: 4.607 4.607 9.148 Å, 75.42 75.42 60.00°
Positions (direct):
Ag1 0.878 0.878 0.365
Ag2 0.122 0.122 0.635
Ag3 0.395 0.395 0.816
Ag4 0.605 0.605 0.184
Ca1 0.000 0.000 0.000
Al1 0.752 0.752 0.745
Al2 0.248 0.248 0.255
Cd1 0.500 0.500 0.500

- Formation energy from the elements: -0.102 eV/atom
- Symmetry: R-3m, No. 166
- DOS(E_F): 0.349 states/eV per atom

13.
Below is Zr2TlSe4 after structural relaxation, with properties calculated at the GGA-PBE level.

Cell: 3.939 6.888 13.772 Å, 90.00 90.00 106.61°
Positions (direct):
Zr1 0.133 0.266 0.063
Zr2 0.867 0.734 0.937
Zr3 0.133 0.266 0.437
Zr4 0.867 0.734 0.563
Se1 0.083 0.165 0.250
Se2 0.769 0.538 0.389
Se3 0.231 0.462 0.889
Se4 0.500 0.000 0.000
Se5 0.917 0.835 0.750
Se6 0.769 0.538 0.111
Se7 0.500 0.000 0.500
Se8 0.231 0.462 0.611
Tl1 0.401 0.801 0.250
Tl2 0.599 0.199 0.750

- Polymorph energy (0 for the lowest one): 0.071 eV per atom
- Formation energy (no corrections): -104 kJ per mole of atoms
- Symmetry: Cmcm, No. 63
- DOS(E_F): 0.395 states/eV per atom

14.
Below is Ca2Ga4AgGe3 after structural relaxation, with properties calculated at the GGA-PBE level.

Cell: 4.534 4.534 10.468 Å, 90.00 90.00 90.00°
Positions (direct):
Ge1 0.000 0.500 0.130
Ge2 0.000 0.000 0.500
Ge3 0.500 0.000 0.870
Ag1 0.500 0.500 0.500
Ga1 0.500 0.000 0.630
Ga2 0.000 0.500 0.370
Ga3 0.000 0.000 0.000
Ga4 0.500 0.500 0.000
Ca1 0.500 0.000 0.261
Ca2 0.000 0.500 0.739

- Formation energy from the elements: -0.268 eV/atom
- Symmetry: P-4m2, No. 115
- DOS(E_F): 0.253 states/eV per atom

15.
Below is AsPdCBr2 after structural relaxation, with properties calculated at the GGA-PBE level.

Cell: 5.223 5.223 4.770 Å, 90.00 90.00 90.00°
Last column: magnetic moment on the atom in μB.
Positions (direct):
Br1 0.000 0.500 0.000  0.02
Br2 0.500 0.000 0.000  0.02
Pd1 0.000 0.000 0.000  0.02
C1 0.500 0.500 0.500  0.88
As1 0.000 0.000 0.500  0.00

- Polymorph energy (0 for the lowest one): 0.319 eV per atom
- Formation energy (no corrections): 153 kJ per mole of atoms
- Symmetry: P4/mmm, No. 123
- DOS(E_F): 0.684 states/eV per atom

16.
Below is Ba2CrSn2 after structural relaxation, with properties calculated at the GGA-PBE level.

Cell: 10.257 10.257 3.451 Å, 90.00 90.00 90.00°
Last column: magnetic moment on the atom in μB.
Positions (direct):
Sn1 0.672 0.828 0.500  0.00
Sn2 0.328 0.172 0.500  0.00
Sn3 0.172 0.672 0.500  0.01
Sn4 0.828 0.328 0.500  0.01
Ba1 0.629 0.129 0.000  0.01
Ba2 0.129 0.371 0.000  0.01
Ba3 0.371 0.871 0.000  0.01
Ba4 0.871 0.629 0.000  0.01
Cr1 0.000 0.000 0.000  0.37
Cr2 0.500 0.500 0.000  0.37

- Formation energy from the elements: 0.800 eV/atom
- Polymorph energy (0 for the lowest one): 0.600 eV per atom
- Symmetry: P4/mbm, No. 127
- DOS(E_F): 1.263 states/eV per atom

17.
Below is Ac4Te2IrRh after structural relaxation, with properties calculated at the GGA-PBE level.

Cell: 4.436 7.672 8.335 Å, 107.93 90.00 90.00°
Positions (direct):
Ac1 0.500 0.762 0.790
Ac2 0.000 0.735 0.209
Ac3 0.000 0.265 0.791
Ac4 0.500 0.238 0.210
Te1 0.500 0.000 0.500
Te2 0.000 0.500 0.500
Ir1 0.500 0.500 0.000
Rh1 0.000 0.000 0.000

- Formation energy (no corrections): -106 kJ per mole of atoms
- Symmetry: P2/m, No. 10
- DOS(E_F): 0.526 states/eV per atom

18.
Below is RbPuZrO6 after structural relaxation, with properties calculated at the GGA-PBE level.

Cell: 7.599 7.946 7.733 Å, 120.91 119.43 90.00°
Last column: magnetic moment on the atom in μB.
Positions (direct):
O1 0.180 0.930 0.359  -0.02
O2 0.195 0.325 0.758  -0.07
O3 0.805 0.067 0.242  -0.07
O4 0.563 0.933 0.758  -0.07
O5 0.437 0.067 0.242  -0.07
O6 0.564 0.314 0.129  -0.09
O7 0.437 0.675 0.242  -0.07
O8 0.805 0.675 0.242  -0.07
O9 0.820 0.070 0.641  -0.02
O10 0.563 0.325 0.758  -0.07
O11 0.436 0.686 0.871  -0.09
O12 0.195 0.933 0.758  -0.07
Zr1 0.000 0.000 0.500  -0.01
Zr2 0.500 0.000 0.500  -0.01
Pu1 0.500 0.000 0.000  1.41
Pu2 0.500 0.500 0.000  1.41
Rb1 0.900 0.650 0.801  0.00
Rb2 0.100 0.350 0.199  0.00

- Formation energy (no corrections): -246 kJ per mole of atoms
- Symmetry: Imma, No. 74

19.
Below is SrAg2Cl after structural relaxation, with properties calculated at the GGA-PBE level.

Cell: 4.674 4.674 7.138 Å, 71.58 71.58 59.50°
Positions (direct):
Sr1 0.256 0.256 0.238
Ag1 0.022 0.022 0.925
Ag2 0.697 0.697 0.905
Cl1 0.524 0.524 0.433

- Polymorph energy (0 for the lowest one): 0.035 eV per atom
- Formation energy (no corrections): -71 kJ per mole of atoms
- Symmetry: Cm, No. 8
- DOS(E_F): 0.442 states/eV per atom

20.
Below is CeCd4Pd2 after structural relaxation, with properties calculated at the GGA-PBE level.

Cell: 3.888 4.374 9.279 Å, 103.63 90.00 90.00°
Last column: magnetic moment on the atom in μB.
Positions (direct):
Cd1 0.000 0.313 0.626  0.00
Cd2 0.000 0.687 0.374  0.00
Cd3 0.500 0.830 0.660  0.00
Cd4 0.500 0.170 0.340  0.00
Pd1 0.500 0.573 0.146  -0.01
Pd2 0.500 0.427 0.854  -0.01
Ce1 0.000 0.000 0.000  0.81

- Formation energy from the elements: -0.329 eV/atom
- Polymorph energy (0 for the lowest one): 0.050 eV per atom
- Symmetry: Cmmm, No. 65
- DOS(E_F): 1.231 states/eV per atom

21.
Below is Na4CdAu3 after structural relaxation, with properties calculated at the GGA-PBE level.

Cell: 5.582 8.645 8.645 Å, 84.02 71.16 71.16°
Positions (direct):
Au1 0.250 0.000 0.000
Au2 0.750 0.000 0.000
Au3 0.344 0.813 0.500
Au4 0.656 0.187 0.500
Au5 0.156 0.500 0.187
Au6 0.844 0.500 0.813
Na1 0.915 0.863 0.307
Na2 0.085 0.137 0.693
Na3 0.222 0.693 0.863
Na4 0.278 0.137 0.307
Na5 0.415 0.307 0.863
Na6 0.778 0.307 0.137
Na7 0.722 0.863 0.693
Na8 0.585 0.693 0.137
Cd1 0.750 0.500 0.500
Cd2 0.250 0.500 0.500

- Formation energy from the elements: -0.291 eV/atom
- Symmetry: I4/mcm, No. 140
- DOS(E_F): 0.397 states/eV per atom

22.
Below is CsScSnRh2 after structural relaxation, with properties calculated at the GGA-PBE level.

Cell: 4.935 5.990 4.935 Å, 90.00 90.00 90.00°
Positions (direct):
Sn1 0.000 0.500 0.000
Cs1 0.000 0.000 0.000
Rh1 0.000 0.000 0.500
Rh2 0.500 0.000 0.000
Sc1 0.500 0.500 0.500

- Formation energy from the elements: 1.606 eV/atom
- Symmetry: P4/mmm, No. 123
- DOS(E_F): 1.150 states/eV per atom

23.
Below is BiRhSe2 after structural relaxation, with properties calculated at the GGA-PBE level.

Cell: 15.369 4.772 8.189 Å, 90.00 136.86 90.00°
Positions (direct):
Bi1 0.693 0.250 0.395
Bi2 0.807 0.750 0.105
Bi3 0.307 0.750 0.605
Bi4 0.193 0.250 0.895
Rh1 0.453 0.250 0.268
Rh2 0.953 0.250 0.768
Rh3 0.547 0.750 0.732
Rh4 0.047 0.750 0.232
Se1 0.374 0.250 0.867
Se2 0.016 0.750 0.890
Se3 0.516 0.750 0.390
Se4 0.126 0.750 0.633
Se5 0.984 0.250 0.110
Se6 0.626 0.750 0.133
Se7 0.484 0.250 0.610
Se8 0.874 0.250 0.367

- Formation energy (no corrections): -20 kJ per mole of atoms
- Symmetry: P2_1/m, No. 11
- DOS(E_F): 0.057 states/eV per atom